[1]
U2Fe5SiB2 after structural relaxation. Source: Alexandria via LeMat-Bulk, functional PBE-GGA.

The space group is P4/mbm (No. 127) and the conventional cell measures 8.891, 8.891 and 2.997 Å, with angles of 90.00, 90.00 and 90.00 degrees. The inequivalent atoms are U at (0.177, 0.323, 0.000), Fe at (0.000, 0.500, 0.500), Fe at (0.071, 0.782, 0.500), Si at (0.000, 0.000, 0.000) and B at (0.119, 0.619, 0.000).

[2]
UFe2Si2B after structural relaxation. Source: Alexandria via LeMat-Bulk, functional PBE-GGA.

The space group is P4/mmm (No. 123) and the conventional cell measures 3.877, 3.877 and 5.194 Å, with angles of 90.00, 90.00 and 90.00 degrees. The inequivalent atoms are U at (0.000, 0.000, 0.000), Fe at (0.000, 0.500, 0.500), Si at (0.500, 0.500, 0.228) and B at (0.000, 0.000, 0.500).

Number 1: magnetic moment 0.30 μB per cell, E_form (uncorrected) -0.38 eV per atom. Number 2: magnetic moment 2.23 μB per cell, E_form (uncorrected) -0.42 eV per atom.